LaNi2Pb | the Alexandria database | PBE | relaxed; ΔH_f (0 K) = -275 meV per atom; magnetic moment = 0.00 μB/f.u.
1.0
4.191 0.000 0.000
-2.095 3.629 0.000
0.000 0.000 17.325
La Ni Pb
3 6 3
direct
0.000 0.000 0.000
0.333 0.667 0.667
0.667 0.333 0.333
0.000 0.000 0.228
0.000 0.000 0.560
0.333 0.667 0.226
0.333 0.667 0.895
0.667 0.333 0.561
0.667 0.333 0.893
0.000 0.000 0.812
0.333 0.667 0.478
0.667 0.333 0.145

=====

CdHgTe2 | the Alexandria database | PBE | relaxed; formation energy (no corrections) = -0.0716 eV/atom; polymorph energy (0 for the lowest one) = 0.962 eV/f.u.; magnetic moment = 0.00 μB/f.u.
1.0
6.640 0.000 0.000
0.000 5.589 0.000
-3.250 0.000 6.106
Cd Hg Te
2 2 4
direct
0.005 0.250 0.250
0.995 0.750 0.750
0.495 0.750 0.750
0.505 0.250 0.250
0.238 0.750 0.236
0.239 0.250 0.736
0.761 0.750 0.264
0.762 0.250 0.764

=====

Bi2BrN | the Alexandria database | PBE | relaxed; formation energy (no corrections) = 1.0273 eV/atom; polymorph energy (0 for the lowest one) = 2.536 eV/f.u.; magnetic moment = 0.00 μB/f.u.
1.0
7.113 0.000 0.000
0.000 7.113 0.000
0.000 0.000 7.113
Bi Br N
8 4 4
direct
0.250 0.250 0.250
0.250 0.250 0.750
0.250 0.750 0.250
0.250 0.750 0.750
0.750 0.250 0.250
0.750 0.250 0.750
0.750 0.750 0.250
0.750 0.750 0.750
0.000 0.000 0.000
0.000 0.500 0.500
0.500 0.000 0.500
0.500 0.500 0.000
0.000 0.000 0.500
0.000 0.500 0.000
0.500 0.000 0.000
0.500 0.500 0.500

=====

SbRuPb2 | the Alexandria database | PBE | relaxed; formation energy (no corrections) = 0.1056 eV/atom; magnetic moment = 0.00 μB/f.u.
1.0
9.175 0.000 0.000
0.000 3.497 0.000
-2.404 0.000 6.653
Sb Ru Pb
2 2 4
direct
0.000 0.000 0.000
0.500 0.500 0.000
0.290 0.000 0.003
0.790 0.500 0.003
0.146 0.500 0.662
0.331 0.500 0.339
0.646 0.000 0.662
0.831 0.000 0.339

=====

Li2Sm3Ag5 | the Alexandria database | PBE | relaxed; ΔH_f (0 K) = -218 meV per atom; magnetic moment = 0.00 μB/f.u.
1.0
10.470 0.000 0.000
0.000 10.470 0.000
0.000 0.000 3.944
Li Sm Ag
4 6 10
direct
0.115 0.385 0.000
0.385 0.885 0.000
0.615 0.115 0.000
0.885 0.615 0.000
0.000 0.000 0.000
0.181 0.681 0.000
0.319 0.181 0.000
0.500 0.500 0.000
0.681 0.819 0.000
0.819 0.319 0.000
0.000 0.500 0.500
0.061 0.220 0.500
0.220 0.939 0.500
0.280 0.439 0.500
0.439 0.720 0.500
0.500 0.000 0.500
0.561 0.280 0.500
0.720 0.561 0.500
0.780 0.061 0.500
0.939 0.780 0.500

=====

RbCrGeTe3 | the Alexandria database | PBE | relaxed; formation energy (no corrections) = -0.2947 eV/atom; magnetic moment = 0.97 μB/f.u.
1.0
9.290 0.000 0.000
0.000 3.983 0.000
-4.083 0.000 10.181
Rb Cr Ge Te
2 2 2 6
direct
0.073 0.250 0.279
0.927 0.750 0.721
0.473 0.750 0.885
0.527 0.250 0.115
0.432 0.250 0.550
0.568 0.750 0.450
0.265 0.750 0.616
0.287 0.250 0.902
0.375 0.750 0.198
0.625 0.250 0.802
0.713 0.750 0.098
0.735 0.250 0.384